Computed, not measured: VSbNF2 after structural relaxation at the PBE+U level of DFT.

Cell lengths 4.057, 4.057, 4.099 Å; angles 90.00, 90.00, 90.00 degrees
Atoms (fractional coordinates):
V1 0.000 0.000 0.000
Sb1 0.500 0.500 0.500
N1 0.000 0.000 0.500
F1 0.000 0.500 0.000
F2 0.500 0.000 0.000

Output
- Energy: -28.028 eV/f.u.
- Space group: No. 123